No. 1
The following is a PBE calculation of crystalline SiTePt2 at its relaxed geometry, from Alexandria.

Lattice parameters (Å, degrees): 3.0652 3.0652 7.5694 90.00 90.00 90.00
Closest atoms and distances in Å follow each position.
Space group P4/mmm (No. 123)
Inequivalent atoms, fractional coordinates:
Si: 0.0000 0.0000 0.0000  8 Pt 2.59
Te: 0.0000 0.0000 0.5000  4 Te 3.07, 8 Pt 3.21
Pt: 0.5000 0.5000 0.1865  4 Si 2.59, 1 Pt 2.82

Computed properties:
E above lowest polymorph = 255 meV per atom
E_form (uncorrected) = -0.1341 eV/atom
E_tot = -5.296 eV/atom



No. 2
The following is a PBE calculation of crystalline CuPbSe2 at its relaxed geometry, from Alexandria.

Lattice parameters (Å, degrees): 3.7205 5.9135 8.5070 90.00 90.00 90.00
Closest atoms and distances in Å follow each position.
Space group Immm (No. 71)
Inequivalent atoms, fractional coordinates:
Cu: 0.0000 0.0000 0.0000  4 Se 2.42
Pb: 0.0000 0.0000 0.5000  8 Se 3.29-3.33, 4 Cu 3.49
Se: 0.0000 0.5000 0.3189  2 Cu 2.42

Computed properties:
E_form (uncorrected) = -0.1549 eV/atom
E_tot = -3.848 eV/atom



No. 3
The following is a PBE calculation of crystalline Ce2ZnCu6 at its relaxed geometry, from Alexandria.

Lattice parameters (Å, degrees): 5.4439 5.4439 5.8403 90.00 90.00 120.00
Closest atoms and distances in Å follow each position.
Space group P-3m1 (No. 164)
Inequivalent atoms, fractional coordinates:
Ce: 0.3333 0.6667 0.1524  9 Cu 2.94-3.24, 3 Zn 3.27
Zn: 0.0000 0.0000 0.0000  6 Cu 2.60
Cu: 0.1766 0.3532 0.6587  4 Cu 2.49-2.56, 1 Zn 2.60

Computed properties:
E_form = -0.089 eV per atom
E_tot = -4.280 eV/atom